Entry 1:
4
Lattice="-0.182 2.667 -1.353 1.013 -1.755 -3.596 -5.031 -0.851 -1.002" Properties=species:S:1:pos:R:3 comment="TaAsW2 | Alexandria | GGA-PBEsol | optimized geometry" total_magnetization_mub_per_cell=0.00 crystal_system=orthorhombic dos_ef_per_ev_fu=2.1 pbc="T T T"
Ta -3.343 -0.180 -3.223
As -2.525 -0.427 -0.503
W -0.045 -0.008 -0.009
W -0.802 0.250 -2.717



Entry 2:
4
Lattice="-2.430 -1.939 -0.990 0.644 -2.057 2.448 -3.836 3.003 3.533" Properties=species:S:1:pos:R:3 comment="TaAsW2 | Alexandria | GGA-PBEsol | optimized geometry" total_magnetization_mub_per_cell=0.00 crystal_system=tetragonal dos_ef_per_ev_fu=3.6 pbc="T T T"
W -1.833 -1.261 1.596
W -0.072 0.056 0.066
Ta -3.708 0.206 3.322
As -1.926 1.508 1.774



Entry 3:
3
Lattice="4.310 0.000 0.000 2.155 3.733 0.000 2.155 1.244 3.519" Properties=species:S:1:pos:R:3 comment="TaAsW | Alexandria | GGA-PBEsol | optimized geometry" de_polymorph_mev_per_atom=387 total_magnetization_mub_per_cell=0.00 crystal_system=cubic dos_ef_per_ev_fu=3.1 pbc="T T T"
W 2.155 1.244 0.880
As 0.000 0.000 0.000
Ta 4.310 2.489 1.760



Entry 4:
4
Lattice="-1.113 -0.353 -3.526 1.083 -3.553 0.014 -4.232 -1.284 1.465" Properties=species:S:1:pos:R:3 comment="TaAsW2 | Alexandria | GGA-PBEsol | optimized geometry" total_magnetization_mub_per_cell=0.00 crystal_system=tetragonal dos_ef_per_ev_fu=2.1 pbc="T T T"
W -0.557 -0.176 -1.763
W 0.541 -1.777 0.007
Ta -2.116 -0.642 0.732
As -2.131 -2.595 -1.024



Entry 5:
3
Lattice="-2.101 1.888 0.996 -0.085 -0.978 -2.830 -3.552 -4.903 1.801" Properties=species:S:1:pos:R:3 comment="TaAsW | Alexandria | GGA-PBEsol | optimized geometry" de_polymorph_mev_per_atom=0 total_magnetization_mub_per_cell=0.00 crystal_system=trigonal dos_ef_per_ev_fu=2.0 pbc="T T T"
Ta -3.837 -2.391 0.941
W -1.863 -1.549 -0.994
As -0.039 -0.054 0.020



Entry 6:
4
Lattice="4.480 0.000 0.000 2.240 3.880 0.000 2.240 1.293 3.658" Properties=species:S:1:pos:R:3 comment="TaAsW2 | Alexandria | GGA-PBEsol | optimized geometry" total_magnetization_mub_per_cell=0.00 crystal_system=cubic dos_ef_per_ev_fu=3.4 pbc="T T T"
Ta 2.240 1.293 0.915
W 6.721 3.880 2.744
W 0.000 0.000 0.000
As 4.480 2.587 1.829



Entry 7:
4
Lattice="2.853 0.000 0.001 0.000 4.604 0.000 -1.175 0.000 5.090" Properties=species:S:1:pos:R:3 comment="Ta2AsW | Alexandria | GGA-PBEsol | optimized geometry" total_magnetization_mub_per_cell=0.00 crystal_system=monoclinic dos_ef_per_ev_fu=2.5 pbc="T T T"
As 0.438 2.302 3.812
Ta 1.483 0.000 5.062
Ta 1.662 2.302 1.377
W 0.614 0.000 2.477



Entry 8:
3
Lattice="-0.745 -2.738 -1.897 3.229 -1.072 0.279 -2.506 -0.768 5.163" Properties=species:S:1:pos:R:3 comment="YTaAs | Alexandria | GGA-PBEsol | optimized geometry" total_magnetization_mub_per_cell=0.00 crystal_system=tetragonal dos_ef_per_ev_fu=2.1 pbc="T T T"
As -0.081 -0.172 0.280
Y -0.841 -1.779 2.897
Ta 0.900 -2.628 0.368



Entry 9:
5
Lattice="-1.247 0.437 4.440 -0.367 -4.604 0.350 4.446 -0.257 1.275" Properties=species:S:1:pos:R:3 comment="TaZnAs3 | Alexandria | GGA-PBEsol | optimized geometry" total_magnetization_mub_per_cell=0.94 crystal_system=cubic dos_ef_per_ev_fu=5.2 pbc="T T T"
Zn 0.000 0.000 0.000
Ta 1.416 -2.212 3.032
As -0.183 -2.302 0.175
As -0.624 0.219 2.220
As 2.223 -0.129 0.637



Entry 10:
3
Lattice="3.055 0.013 0.000 -0.973 2.896 0.000 -1.041 -1.454 6.209" Properties=species:S:1:pos:R:3 comment="ZrTaAs | Alexandria | GGA-PBEsol | optimized geometry" total_magnetization_mub_per_cell=0.00 crystal_system=orthorhombic dos_ef_per_ev_fu=2.1 pbc="T T T"
Ta 1.041 1.454 1.929
Zr 0.000 0.000 4.232
As 0.000 0.000 0.048



Entry 11:
4
Lattice="3.235 0.000 0.000 0.000 4.595 0.000 0.000 0.000 4.595" Properties=species:S:1:pos:R:3 comment="ZrTaAs2 | Alexandria | GGA-PBEsol | optimized geometry" total_magnetization_mub_per_cell=0.00 crystal_system=tetragonal dos_ef_per_ev_fu=2.3 pbc="T T T"
Zr 1.618 0.000 0.000
As 0.000 0.000 2.298
As 0.000 2.298 0.000
Ta 1.618 2.298 2.298



Entry 12:
5
Lattice="4.891 0.000 0.000 0.000 4.891 0.000 0.000 0.000 4.891" Properties=species:S:1:pos:R:3 comment="Zr3TaAs | Alexandria | GGA-PBEsol | optimized geometry" total_magnetization_mub_per_cell=0.00 crystal_system=cubic dos_ef_per_ev_fu=4.3 pbc="T T T"
As 0.000 0.000 0.000
Zr 0.000 2.446 0.000
Zr 0.000 0.000 2.446
Zr 2.446 0.000 0.000
Ta 2.446 2.446 2.446



Entry 13:
8
Lattice="-1.824 -4.542 -1.327 -0.258 -1.324 4.889 -4.725 1.826 0.245" Properties=species:S:1:pos:R:3 comment="TcAs3 | Alexandria | GGA-PBEsol | optimized geometry" de_polymorph_mev_per_atom=115 total_magnetization_mub_per_cell=0.59 crystal_system=cubic dos_ef_per_ev_fu=3.0 pbc="T T T"
Tc 0.000 0.000 0.000
Tc -3.403 -2.021 1.904
As -2.093 -1.815 -0.602
As -0.585 -1.798 2.113
As -1.497 -4.069 1.449
As -2.427 0.582 1.345
As -4.456 -0.902 -0.479
As -2.556 -0.080 3.789



Entry 14:
8
Lattice="4.456 0.000 0.000 0.000 5.133 0.000 0.000 -2.566 6.521" Properties=species:S:1:pos:R:3 comment="TcAs3 | Alexandria | GGA-PBEsol | optimized geometry" de_polymorph_mev_per_atom=183 total_magnetization_mub_per_cell=0.00 crystal_system=orthorhombic dos_ef_per_ev_fu=2.4 pbc="T T T"
As 1.114 1.218 2.568
As 3.342 0.000 0.680
As 1.114 3.914 2.568
As 1.114 2.566 5.841
As 3.342 -1.348 3.952
As 3.342 1.348 3.952
Tc 1.114 2.566 0.489
Tc 3.342 0.000 6.031



Entry 15:
4
Lattice="4.387 0.000 0.000 2.194 3.799 0.000 2.194 1.266 3.582" Properties=species:S:1:pos:R:3 comment="TcAs | Alexandria | GGA-PBEsol | optimized geometry" de_polymorph_mev_per_atom=651 total_magnetization_mub_per_cell=0.00 crystal_system=cubic dos_ef_per_ev_fu=2.2 pbc="T T T"
Tc 2.194 1.266 0.896
Tc 0.000 0.000 0.000
As 6.581 3.799 2.687
As 4.387 2.533 1.791



Entry 16:
5
Lattice="-0.453 -3.645 -1.809 3.331 2.259 -0.753 2.488 -2.320 4.051" Properties=species:S:1:pos:R:3 comment="Tc3As2 | Alexandria | GGA-PBEsol | optimized geometry" total_magnetization_mub_per_cell=0.00 crystal_system=trigonal dos_ef_per_ev_fu=6.4 pbc="T T T"
Tc 2.492 -3.247 1.284
Tc 2.874 -0.459 0.205
Tc 0.000 0.000 0.000
As 1.331 -2.165 -0.606
As 4.035 -1.542 2.095



Entry 17:
4
Lattice="2.931 0.000 0.000 0.000 2.931 0.000 0.000 0.000 6.471" Properties=species:S:1:pos:R:3 comment="Tc3As | Alexandria | GGA-PBEsol | optimized geometry" de_polymorph_mev_per_atom=0 total_magnetization_mub_per_cell=0.00 crystal_system=tetragonal dos_ef_per_ev_fu=2.5 pbc="T T T"
Tc 1.465 1.465 1.531
Tc 1.465 1.465 4.940
Tc 0.000 0.000 3.235
As 0.000 0.000 0.000



Entry 18:
4
Lattice="-0.379 -2.449 1.732 -2.005 -1.847 -3.050 5.282 0.374 -0.955" Properties=species:S:1:pos:R:3 comment="TcAs | Alexandria | GGA-PBEsol | optimized geometry" de_polymorph_mev_per_atom=268 total_magnetization_mub_per_cell=0.00 crystal_system=orthorhombic dos_ef_per_ev_fu=1.2 pbc="T T T"
Tc -0.560 -1.795 -2.660
Tc 3.459 -2.128 0.387
As 2.667 -1.836 -2.012
As 0.232 -2.086 -0.260



Entry 19:
4
Lattice="-2.123 -1.403 -1.899 2.573 -2.987 -0.668 -2.214 -2.947 4.652" Properties=species:S:1:pos:R:3 comment="TcAs3 | Alexandria | GGA-PBEsol | optimized geometry" de_polymorph_mev_per_atom=98 total_magnetization_mub_per_cell=0.00 crystal_system=orthorhombic dos_ef_per_ev_fu=1.6 pbc="T T T"
Tc 0.688 -2.291 0.924
As -2.058 -2.028 1.144
As -1.842 -4.946 3.058
As -0.029 -0.038 0.060



Entry 20:
9
Lattice="3.858 0.000 0.000 1.929 5.736 0.000 1.929 0.000 5.736" Properties=species:S:1:pos:R:3 comment="Tc8As | Alexandria | GGA-PBEsol | optimized geometry" total_magnetization_mub_per_cell=0.00 crystal_system=tetragonal dos_ef_per_ev_fu=8.8 pbc="T T T"
Tc 1.929 3.778 1.958
Tc 1.929 1.958 3.778
Tc 3.858 3.749 0.000
Tc 3.858 0.000 3.749
Tc 1.929 0.000 1.987
Tc 1.929 1.987 0.000
Tc 3.858 3.778 3.778
Tc 3.858 1.958 1.958
As 0.000 0.000 0.000



Number 1: formation energy 0.21 eV/atom. Number 2: formation energy 0.15 eV/atom. Number 3: formation energy 0.63 eV/atom. Number 4: formation energy 0.28 eV/atom. Number 5: formation energy 0.24 eV/atom. Number 6: formation energy 0.36 eV/atom. Number 7: formation energy 0.04 eV/atom. Number 8: formation energy -0.45 eV/atom. Number 9: formation energy 1.11 eV/atom. Number 10: formation energy -0.37 eV/atom. Number 11: formation energy -0.61 eV/atom. Number 12: formation energy 0.32 eV/atom. Number 13: formation energy 0.29 eV/atom. Number 14: formation energy 0.36 eV/atom. Number 15: formation energy 0.42 eV/atom. Number 16: formation energy 0.17 eV/atom. Number 17: formation energy -0.06 eV/atom. Number 18: formation energy 0.04 eV/atom. Number 19: formation energy 0.28 eV/atom. Number 20: formation energy 0.02 eV/atom.